# 1
Compound: Ho4GaHg3
Source: Alexandria
Functional: PBE-GGA
Structure: optimized geometry

Computed properties:
Total magnetic moment ... 0.001 μB per cell
DFT formation energy ... -0.501 eV/atom

```
data_Ho4GaHg3
_cell_length_a 3.6588
_cell_length_b 3.6588
_cell_length_c 14.7753
_cell_angle_alpha 90.00
_cell_angle_beta 90.00
_cell_angle_gamma 90.00
_space_group_name_H-M_alt 'P 1'
_space_group_IT_number 1
_space_group_name_Hall 'P 1'
loop_
_atom_site_label
_atom_site_type_symbol
_atom_site_fract_x
_atom_site_fract_y
_atom_site_fract_z
Ho1 Ho 0.0000 0.0000 0.1168
Ho2 Ho 0.0000 0.0000 0.3721
Ho3 Ho 0.0000 0.0000 0.6279
Ho4 Ho 0.0000 0.0000 0.8832
Ga1 Ga 0.5000 0.5000 0.0000
Hg1 Hg 0.5000 0.5000 0.2451
Hg2 Hg 0.5000 0.5000 0.5000
Hg3 Hg 0.5000 0.5000 0.7549
```

# 2
Compound: TbErInAu
Source: Alexandria
Functional: PBE-GGA
Structure: optimized geometry

Computed properties:
Total magnetic moment ... 0.000 μB per cell
DFT formation energy ... -0.671 eV/atom

```
data_TbErInAu
_cell_length_a 3.6014
_cell_length_b 3.6014
_cell_length_c 7.6729
_cell_angle_alpha 90.00
_cell_angle_beta 90.00
_cell_angle_gamma 90.00
_space_group_name_H-M_alt 'P 1'
_space_group_IT_number 1
_space_group_name_Hall 'P 1'
loop_
_atom_site_label
_atom_site_type_symbol
_atom_site_fract_x
_atom_site_fract_y
_atom_site_fract_z
Tb1 Tb 0.0000 0.0000 0.0000
Er1 Er 0.0000 0.0000 0.5379
In1 In 0.5000 0.5000 0.2713
Au1 Au 0.5000 0.5000 0.7558
```

# 3
Compound: Pr2HoErS5
Source: Alexandria
Functional: PBE-GGA
Structure: optimized geometry

Computed properties:
Total magnetic moment ... 0.000 μB per cell
Uncorrected formation energy ... -1.50 eV/atom

```
data_Pr2HoErS5
_cell_length_a 4.8597
_cell_length_b 4.8597
_cell_length_c 10.2544
_cell_angle_alpha 90.00
_cell_angle_beta 90.00
_cell_angle_gamma 90.00
_space_group_name_H-M_alt 'P 1'
_space_group_IT_number 1
_space_group_name_Hall 'P 1'
loop_
_atom_site_label
_atom_site_type_symbol
_atom_site_fract_x
_atom_site_fract_y
_atom_site_fract_z
Pr1 Pr 0.0000 0.0000 0.2082
Pr2 Pr 0.0000 0.0000 0.7918
Ho1 Ho 0.5000 0.5000 0.5000
Er1 Er 0.5000 0.5000 0.0000
S1 S 0.0000 0.0000 0.5000
S2 S 0.0000 0.5000 0.0000
S3 S 0.5000 0.0000 0.0000
S4 S 0.5000 0.5000 0.2555
S5 S 0.5000 0.5000 0.7445
```